Entry 1:
VASP calculation (PBE) on MnNb2ReN after structural relaxation. Values from VASP.

Quantum ESPRESSO input file:
```
&SYSTEM
  ibrav = 0, nat = 5, ntyp = 4
/
ATOMIC_SPECIES
Nb 92.91 Nb.upf
Mn 54.94 Mn.upf
N 14.01 N.upf
Re 186.21 Re.upf
CELL_PARAMETERS angstrom
-2.571 2.919 -1.936
-3.453 -1.709 2.009
0.500 2.317 2.830
ATOMIC_POSITIONS crystal
Nb 0.500 0.000 0.000
Nb 0.000 0.500 0.000
Mn 0.000 0.000 0.500
N 0.000 0.000 0.000
Re 0.500 0.500 0.500
```

Summary:
Formation energy without anion corrections = -350 meV per atom
Magnetic moment = 2.4 μB/cell
Uncorrected energy = -10.3669 eV/atom



Entry 2:
VASP calculation (PBE) on MnNb2RhN after structural relaxation. Values from VASP.

Quantum ESPRESSO input file:
```
&SYSTEM
  ibrav = 0, nat = 5, ntyp = 4
/
ATOMIC_SPECIES
Rh 102.91 Rh.upf
N 14.01 N.upf
Nb 92.91 Nb.upf
Mn 54.94 Mn.upf
CELL_PARAMETERS angstrom
-2.345 0.067 -3.539
-3.511 -0.582 2.315
-0.398 3.734 0.335
ATOMIC_POSITIONS crystal
Rh 0.500 0.500 0.500
N 0.000 0.000 0.000
Nb 0.000 0.500 0.000
Nb 0.500 0.000 0.000
Mn 0.000 0.000 0.500
```

Summary:
Formation energy without anion corrections = -499 meV per atom
Magnetic moment = 0.0 μB/cell
Uncorrected energy = -9.4965 eV/atom



Entry 3:
VASP calculation (PBE) on MnNbRh2N after structural relaxation. Values from VASP.

Quantum ESPRESSO input file:
```
&SYSTEM
  ibrav = 0, nat = 5, ntyp = 4
/
ATOMIC_SPECIES
Rh 102.91 Rh.upf
Mn 54.94 Mn.upf
Nb 92.91 Nb.upf
N 14.01 N.upf
CELL_PARAMETERS angstrom
4.173 0.000 0.000
0.000 3.718 0.000
0.000 0.000 4.173
ATOMIC_POSITIONS crystal
Rh 0.000 0.000 0.500
Rh 0.500 0.000 0.000
Mn 0.000 0.500 0.000
Nb 0.500 0.500 0.500
N 0.000 0.000 0.000
```

Summary:
Formation energy without anion corrections = -3 meV per atom
Magnetic moment = 0.0 μB/cell
Uncorrected energy = -8.4567 eV/atom



Entry 4:
VASP calculation (PBE) on Mn2NbRuN after structural relaxation. Values from VASP.

Quantum ESPRESSO input file:
```
&SYSTEM
  ibrav = 0, nat = 5, ntyp = 4
/
ATOMIC_SPECIES
Ru 101.07 Ru.upf
Nb 92.91 Nb.upf
Mn 54.94 Mn.upf
N 14.01 N.upf
CELL_PARAMETERS angstrom
-3.045 -2.134 -1.047
2.377 -2.692 -1.423
0.062 -1.953 3.798
ATOMIC_POSITIONS crystal
Ru 0.500 0.500 0.500
Nb 0.000 0.000 0.500
Mn 0.000 0.500 0.000
Mn 0.500 0.000 0.000
N 0.000 0.000 0.000
```

Summary:
Formation energy without anion corrections = -247 meV per atom
Magnetic moment = 5.4 μB/cell
Uncorrected energy = -9.4493 eV/atom



Entry 5:
VASP calculation (PBE) on MnNb2RuN after structural relaxation. Values from VASP.

Quantum ESPRESSO input file:
```
&SYSTEM
  ibrav = 0, nat = 5, ntyp = 4
/
ATOMIC_SPECIES
N 14.01 N.upf
Ru 101.07 Ru.upf
Nb 92.91 Nb.upf
Mn 54.94 Mn.upf
CELL_PARAMETERS angstrom
4.278 0.000 0.000
0.000 4.278 0.000
0.000 0.000 3.704
ATOMIC_POSITIONS crystal
N 0.000 0.000 0.000
Ru 0.500 0.500 0.500
Nb 0.000 0.500 0.000
Nb 0.500 0.000 0.000
Mn 0.000 0.000 0.500
```

Summary:
Formation energy without anion corrections = -399 meV per atom
Magnetic moment = 0.0 μB/cell
Uncorrected energy = -9.7815 eV/atom



Entry 6:
VASP calculation (PBE) on MnNbS2N after structural relaxation. Values from VASP.

Quantum ESPRESSO input file:
```
&SYSTEM
  ibrav = 0, nat = 5, ntyp = 4
/
ATOMIC_SPECIES
S 32.06 S.upf
N 14.01 N.upf
Mn 54.94 Mn.upf
Nb 92.91 Nb.upf
CELL_PARAMETERS angstrom
4.638 0.000 0.000
0.000 4.638 0.000
0.000 0.000 3.445
ATOMIC_POSITIONS crystal
S 0.000 0.500 0.000
S 0.500 0.000 0.000
N 0.000 0.000 0.500
Mn 0.000 0.000 0.000
Nb 0.500 0.500 0.500
```

Summary:
Formation energy without anion corrections = 172 meV per atom
ΔE to the lowest computed polymorph = 147.1 meV/atom
Magnetic moment = 3.1 μB/cell
Uncorrected energy = -6.9919 eV/atom



Q: Which value of formation energy without anion corrections does entry 6 give?
A: 172 meV per atom



Q: Which value of uncorrected energy does entry 3 give?
A: -8.4567 eV/atom



Copy entry 2 word for word.
VASP calculation (PBE) on MnNb2RhN after structural relaxation. Values from VASP.

Quantum ESPRESSO input file:
```
&SYSTEM
  ibrav = 0, nat = 5, ntyp = 4
/
ATOMIC_SPECIES
Rh 102.91 Rh.upf
N 14.01 N.upf
Nb 92.91 Nb.upf
Mn 54.94 Mn.upf
CELL_PARAMETERS angstrom
-2.345 0.067 -3.539
-3.511 -0.582 2.315
-0.398 3.734 0.335
ATOMIC_POSITIONS crystal
Rh 0.500 0.500 0.500
N 0.000 0.000 0.000
Nb 0.000 0.500 0.000
Nb 0.500 0.000 0.000
Mn 0.000 0.000 0.500
```

Summary:
Formation energy without anion corrections = -499 meV per atom
Magnetic moment = 0.0 μB/cell
Uncorrected energy = -9.4965 eV/atom



Q: Which of these has the highest uncorrected energy?
A: MnNbS2N